# HoSc2ReO8

A relaxed structure of HoSc2ReO8 (PBE, the Alexandria database).

## Properties
E (eV per cell): -205.2
Raw formation energy (eV/atom): -2.772

Cell: 6.8764 6.8898 6.4858 Å, 90.00 90.00 90.00°
With the nearest neighbours (Å) after each atom.
Space group Cmmm (No. 65)
Symmetry-distinct sites (fractional):
Ho 0.0000 0.0000 0.0000 (multiplicity 2)  6 O 2.17-2.29
Sc 0.0000 0.5000 0.2417 (multiplicity 4)  4 O 2.02-2.15
Re 0.0000 0.0000 0.5000 (multiplicity 2)  6 O 1.90-1.91
O 0.0000 0.1908 0.2885 (multiplicity 8)  1 Re 1.90
O 0.1848 0.5000 0.0000 (multiplicity 4)  2 Sc 2.02, 1 Ho 2.17
O 0.2223 0.5000 0.5000 (multiplicity 4)  1 Re 1.91